HfAl2Pd2: relaxed, PBE.

Cell and atoms, written as POSCAR:
```
HfAl2Pd2
1.0
7.536 0.000 0.000
0.000 7.536 0.000
0.000 0.000 2.876
Hf Al Pd
2 4 4
Cartesian
0.000 0.000 0.000
3.768 3.768 0.000
1.197 2.571 1.438
2.571 6.339 1.438
4.965 1.197 1.438
6.339 4.965 1.438
1.026 4.794 0.000
2.742 1.026 0.000
4.794 6.510 0.000
6.510 2.742 0.000
```

The total magnetization is 0.00 μB per cell. As for the formation energy: -15.7 kcal/mol of atoms. The calculation puts the raw total energy at -6.2455 eV/atom. For the density of states at the Fermi level, the calculation gives 0.56 states/eV/atom. The value obtained for the polymorph energy (0 for the lowest one) is 0.0 meV/atom. Its crystal system is tetragonal.